The following is a GGA-PBE calculation of crystalline Y2MnNiH at its relaxed geometry, from Alexandria.

a b c (Å): 4.8396 4.8396 3.5916
angles (deg): 90.00 90.00 90.00
Positions (direct):
Y (0.5000, 0.0000, 0.0000)
Ni (0.5000, 0.5000, 0.5000)
Mn (0.0000, 0.0000, 0.5000)
Y (0.0000, 0.5000, 0.0000)
H (0.0000, 0.0000, 0.0000)

Values from the calculation:
DFT total energy = -6.399 eV/atom

The following is a GGA-PBE calculation of crystalline MnZnNi2H at its relaxed geometry, from Alexandria.

a b c (Å): 3.6908 3.6908 3.7216
angles (deg): 90.00 90.00 90.00
Positions (direct):
Ni (0.0000, 0.5000, 0.0000)
Zn (0.5000, 0.5000, 0.5000)
Ni (0.5000, 0.0000, 0.0000)
Mn (0.0000, 0.0000, 0.5000)
H (0.0000, 0.0000, 0.0000)

Values from the calculation:
E above lowest polymorph = 0.00 eV/f.u.

The following is a GGA-PBE calculation of crystalline MnZnNi2H at its relaxed geometry, from Alexandria.

a b c (Å): 3.6911 3.6911 3.7977
angles (deg): 90.00 90.00 90.00
Positions (direct):
H (0.0000, 0.0000, 0.0000)
Mn (0.5000, 0.5000, 0.5000)
Zn (0.0000, 0.0000, 0.5000)
Ni (0.0000, 0.5000, 0.0000)
Ni (0.5000, 0.0000, 0.0000)

Values from the calculation:
E above lowest polymorph = 0.68 eV/f.u.

The following is a GGA-PBE calculation of crystalline MnZn2NiH at its relaxed geometry, from Alexandria.

a b c (Å): 3.9830 3.9830 3.4371
angles (deg): 90.00 90.00 90.00
Positions (direct):
Mn (0.0000, 0.0000, 0.5000)
H (0.0000, 0.0000, 0.0000)
Ni (0.5000, 0.5000, 0.5000)
Zn (0.5000, 0.0000, 0.0000)
Zn (0.0000, 0.5000, 0.0000)

Values from the calculation:
DFT total energy = -4.099 eV/atom

The following is a GGA-PBE calculation of crystalline Mn2ZnNiH at its relaxed geometry, from Alexandria.

a b c (Å): 3.6497 3.6497 3.9558
angles (deg): 90.00 90.00 90.00
Positions (direct):
H (0.0000, 0.0000, 0.0000)
Mn (0.5000, 0.0000, 0.0000)
Zn (0.0000, 0.0000, 0.5000)
Mn (0.0000, 0.5000, 0.0000)
Ni (0.5000, 0.5000, 0.5000)

Values from the calculation:
E above lowest polymorph = 0.57 eV/f.u.

The following is a GGA-PBE calculation of crystalline Mn2ZnNiH at its relaxed geometry, from Alexandria.

a b c (Å): 3.8658 3.8658 3.5848
angles (deg): 90.00 90.00 90.00
Positions (direct):
Mn (0.5000, 0.0000, 0.0000)
H (0.0000, 0.0000, 0.0000)
Ni (0.0000, 0.0000, 0.5000)
Mn (0.0000, 0.5000, 0.0000)
Zn (0.5000, 0.5000, 0.5000)

Values from the calculation:
E above lowest polymorph = 0.00 eV/f.u.

The following is a GGA-PBE calculation of crystalline Zr2MnNiH at its relaxed geometry, from Alexandria.

a b c (Å): 4.5129 4.5129 3.3370
angles (deg): 90.00 90.00 90.00
Positions (direct):
H (0.0000, 0.0000, 0.0000)
Zr (0.5000, 0.0000, 0.0000)
Zr (0.0000, 0.5000, 0.0000)
Mn (0.5000, 0.5000, 0.5000)
Ni (0.0000, 0.0000, 0.5000)

Values from the calculation:
DFT total energy = -7.312 eV/atom

The following is a GGA-PBE calculation of crystalline Zr2MnNiH at its relaxed geometry, from Alexandria.

a b c (Å): 4.5208 4.5208 3.3514
angles (deg): 90.00 90.00 90.00
Positions (direct):
Ni (0.5000, 0.5000, 0.5000)
H (0.0000, 0.0000, 0.0000)
Zr (0.0000, 0.5000, 0.0000)
Mn (0.0000, 0.0000, 0.5000)
Zr (0.5000, 0.0000, 0.0000)

Values from the calculation:
DFT total energy = -7.311 eV/atom

The following is a GGA-PBE calculation of crystalline ZrMn2NiH at its relaxed geometry, from Alexandria.

a b c (Å): 3.9562 3.9562 3.7531
angles (deg): 90.00 90.00 90.00
Positions (direct):
Ni (0.0000, 0.0000, 0.5000)
Mn (0.0000, 0.5000, 0.0000)
Zr (0.5000, 0.5000, 0.5000)
Mn (0.5000, 0.0000, 0.0000)
H (0.0000, 0.0000, 0.0000)

Values from the calculation:
DFT total energy = -7.267 eV/atom

The following is a GGA-PBE calculation of crystalline NpMn2H6 at its relaxed geometry, from Alexandria.

a b c (Å): 4.3293 4.3027 4.3027
angles (deg): 120.00 90.00 90.00
Positions (direct):
Np (0.0000, 0.0000, 0.0000)
Mn (0.5000, 0.3333, 0.6667)
H (0.2294, 0.5000, 0.0000)
H (0.7706, 0.5000, 0.0000)
H (0.2294, 0.0000, 0.5000)
H (0.7706, 0.0000, 0.5000)
Mn (0.5000, 0.6667, 0.3333)
H (0.2294, 0.5000, 0.5000)
H (0.7706, 0.5000, 0.5000)

Values from the calculation:
DFT total energy = -5.806 eV/atom

The following is a GGA-PBE calculation of crystalline Np3Mn5H12 at its relaxed geometry, from Alexandria.

a b c (Å): 9.7523 9.7523 9.7523
angles (deg): 109.47 109.47 109.47
Positions (direct):
H (0.3097, 0.8938, 0.9770)
H (0.8097, 0.3327, 0.9159)
Mn (0.8750, 0.6250, 0.7500)
H (0.6903, 0.5841, 0.1673)
H (0.3327, 0.5230, 0.4168)
H (0.0841, 0.9168, 0.3938)
Np (0.7500, 0.8750, 0.6250)
Np (0.6250, 0.3750, 0.7500)
H (0.9159, 0.8327, 0.8097)
Mn (0.7500, 0.6250, 0.3750)
H (0.1903, 0.5230, 0.6062)
H (0.8327, 0.9168, 0.0230)
H (0.3327, 0.8097, 0.4159)
Mn (0.0000, 0.0000, 0.0000)
Np (0.7500, 0.3750, 0.1250)
Np (0.8750, 0.7500, 0.1250)
Mn (0.0000, 0.0000, 0.5000)
H (0.1062, 0.6903, 0.5230)
Np (0.6250, 0.2500, 0.3750)
Mn (0.0000, 0.5000, 0.0000)
H (0.5832, 0.6062, 0.4159)
Mn (0.3750, 0.1250, 0.7500)
Mn (0.5000, 0.0000, 0.0000)
H (0.8938, 0.5841, 0.9168)
H (0.4168, 0.3938, 0.5841)
Mn (0.1250, 0.7500, 0.3750)
H (0.0832, 0.9159, 0.1062)
H (0.9168, 0.8327, 0.5230)
H (0.5841, 0.6903, 0.6673)
H (0.6673, 0.4770, 0.5832)
Np (0.1250, 0.8750, 0.7500)
H (0.8327, 0.9159, 0.3097)
H (0.4770, 0.6673, 0.0832)
H (0.0841, 0.1673, 0.1903)
Mn (0.2500, 0.8750, 0.1250)
H (0.5832, 0.9770, 0.6673)
H (0.9159, 0.0832, 0.6062)
Mn (0.6250, 0.8750, 0.2500)
H (0.5841, 0.8938, 0.4168)
Np (0.2500, 0.1250, 0.3750)
Np (0.3750, 0.7500, 0.6250)
Mn (0.8750, 0.2500, 0.6250)
Mn (0.0000, 0.5000, 0.5000)
Np (0.1250, 0.2500, 0.8750)
H (0.6903, 0.1062, 0.0230)
H (0.3938, 0.9770, 0.8097)
H (0.3097, 0.4159, 0.8327)
H (0.5230, 0.1903, 0.1062)
H (0.3938, 0.4168, 0.0841)
Mn (0.6250, 0.7500, 0.8750)
Mn (0.5000, 0.5000, 0.5000)
Mn (0.2500, 0.3750, 0.6250)
H (0.9770, 0.3938, 0.3097)
Mn (0.3750, 0.2500, 0.1250)
Mn (0.1250, 0.3750, 0.2500)
H (0.4770, 0.8097, 0.8938)
H (0.4159, 0.1062, 0.5832)
H (0.4159, 0.3097, 0.3327)
H (0.8097, 0.4770, 0.3938)
H (0.0832, 0.1673, 0.4770)
H (0.4168, 0.0230, 0.3327)
H (0.6062, 0.5832, 0.9159)
Mn (0.5000, 0.5000, 0.0000)
H (0.1062, 0.4159, 0.0832)
Np (0.8750, 0.1250, 0.2500)
Mn (0.7500, 0.1250, 0.8750)
H (0.1673, 0.0841, 0.6903)
Np (0.3750, 0.6250, 0.2500)
H (0.6673, 0.1903, 0.5841)
H (0.9770, 0.5832, 0.1673)
Np (0.2500, 0.6250, 0.8750)
H (0.1903, 0.6673, 0.0841)
H (0.5230, 0.3327, 0.9168)
H (0.8938, 0.3097, 0.4770)
H (0.0230, 0.4168, 0.8327)
H (0.9168, 0.0841, 0.8938)
H (0.6062, 0.0230, 0.1903)
Mn (0.5000, 0.0000, 0.5000)
H (0.1673, 0.0832, 0.9770)
H (0.0230, 0.6062, 0.6903)

Values from the calculation:
DFT total energy = -6.153 eV/atom

The following is a GGA-PBE calculation of crystalline NpMn3H at its relaxed geometry, from Alexandria.

a b c (Å): 3.8464 3.8464 3.8464
angles (deg): 90.00 90.00 90.00
Positions (direct):
H (0.0000, 0.0000, 0.0000)
Mn (0.0000, 0.5000, 0.0000)
Np (0.5000, 0.5000, 0.5000)
Mn (0.5000, 0.0000, 0.0000)
Mn (0.0000, 0.0000, 0.5000)

Values from the calculation:
DFT total energy = -8.677 eV/atom

no.,density (Mg/m³)
1,5.77
2,7.82
3,7.66
4,7.48
5,7.41
6,7.28
7,7.26
8,7.20
9,7.37
10,8.44
11,9.28
12,11.75